1.
A geometry-optimized SrLaAl2Fe structure. Source: Alexandria via LeMat-Bulk, functional PBE.

Cell lengths 4.9413, 4.9413, 4.9544 Å; angles 90.00, 90.00, 90.00 degrees
Last column: nearest neighbours and their distance in Å.
Positions (direct):
Sr (0.0000, 0.0000, 0.0000)  4 La 3.49, 8 Al 3.50
La (0.5000, 0.5000, 0.0000)  2 Fe 2.48
Al (0.0000, 0.5000, 0.5000)  2 Fe 2.47
Al (0.5000, 0.0000, 0.5000)  2 Fe 2.47
Fe (0.5000, 0.5000, 0.5000)  4 Al 2.47, 2 La 2.48

Its energy relative to the elements is -141.5 meV/atom. The space group is No. 123. The volume comes out at 24.2 Å³/atom.


2.
A geometry-optimized SrLa2AlFe structure. Source: Alexandria via LeMat-Bulk, functional PBE.

Cell lengths 5.3419, 5.3419, 5.0589 Å; angles 90.00, 90.00, 90.00 degrees
Last column: nearest neighbours and their distance in Å.
Positions (direct):
Sr (0.0000, 0.0000, 0.0000)  8 La 3.68, 4 Al 3.78
La (0.0000, 0.5000, 0.5000)  2 Fe 2.67
La (0.5000, 0.0000, 0.5000)  2 Fe 2.67
Al (0.5000, 0.5000, 0.0000)  2 Fe 2.53
Fe (0.5000, 0.5000, 0.5000)  2 Al 2.53, 4 La 2.67

Its energy relative to the elements is -23.7 meV/atom. The space group is No. 123. The volume comes out at 28.9 Å³/atom.


3.
A geometry-optimized LaAlFe2Te structure. Source: Alexandria via LeMat-Bulk, functional PBE.

Cell lengths 4.8904, 4.8904, 6.1385 Å; angles 90.00, 90.00, 90.00 degrees
Last column: nearest neighbours and their distance in Å.
Positions (direct):
La (0.0000, 0.0000, 0.0000)  4 Fe 2.45
Al (0.5000, 0.5000, 0.5000)  4 Te 3.46
Fe (0.0000, 0.5000, 0.0000)  2 La 2.45
Fe (0.5000, 0.0000, 0.0000)  2 La 2.45
Te (0.0000, 0.0000, 0.5000)  2 La 3.07

The space group is No. 123. The volume comes out at 29.4 Å³/atom. For the uncorrected formation energy, the calculation gives 1.270 eV/atom.


4.
A geometry-optimized La2AlFeTe structure. Source: Alexandria via LeMat-Bulk, functional PBE.

Cell lengths 5.2572, 5.2572, 4.6691 Å; angles 90.00, 90.00, 90.00 degrees
Last column: nearest neighbours and their distance in Å.
Positions (direct):
La (0.0000, 0.5000, 0.0000)  2 Fe 2.63
La (0.5000, 0.0000, 0.0000)  2 Fe 2.63
Al (0.0000, 0.0000, 0.5000)  2 Fe 2.33
Fe (0.0000, 0.0000, 0.0000)  2 Al 2.33
Te (0.5000, 0.5000, 0.5000)  8 La 3.52, 4 Al 3.72

The space group is No. 123. The volume comes out at 25.8 Å³/atom. For the uncorrected formation energy, the calculation gives -0.652 eV/atom.